A:
VASP calculation (PBE) on TiPCl2 after structural relaxation.

## Properties
M_tot (μB/f.u.): 0.00
Space-group type: No. 225
Volume (Å³/f.u.): 66

abc: 4.531 4.531 4.531
angles: 60.00 60.00 60.00
Fractional coordinates of all 4 atoms:
Cl 0.750 0.750 0.750
Cl 0.250 0.250 0.250
P 0.000 0.000 0.000
Ti 0.500 0.500 0.500


B:
VASP calculation (PBE) on TiPCl2 after structural relaxation.

## Properties
M_tot (μB/f.u.): 0.98
Space-group type: No. 122
Volume (Å³/f.u.): 96

abc: 8.987 8.987 6.786
angles: 48.53 48.53 90.00
Each line ends with the local moment (μB).
Fractional coordinates of all 8 atoms:
Cl 0.875 0.033 0.750  0.07
P 0.250 0.750 0.500  0.25
Cl 0.375 0.217 0.750  0.07
Cl 0.783 0.125 0.250  0.07
Ti 0.750 0.250 0.500  0.21
Ti 0.000 0.000 0.000  0.21
Cl 0.967 0.625 0.250  0.07
P 0.500 0.500 0.000  0.24


C:
VASP calculation (PBE) on TiPCl2 after structural relaxation.

## Properties
M_tot (μB/f.u.): 0.00
Space-group type: No. 166
Volume (Å³/f.u.): 92

abc: 11.373 11.373 11.373
angles: 15.52 15.52 15.52
Fractional coordinates of all 4 atoms:
Ti 0.500 0.500 0.500
Cl 0.883 0.883 0.883
P 0.000 0.000 0.000
Cl 0.117 0.117 0.117


Stability, lowest: A


A:
VASP calculation (PBE) on TiTlPCl2 after structural relaxation.

## Properties
M_tot (μB/f.u.): 0.00
Space-group type: No. 123
Volume (Å³/f.u.): 119

abc: 4.938 4.938 4.866
angles: 90.00 90.00 90.00
Fractional coordinates of all 5 atoms:
P 0.000 0.000 0.500
Cl 0.000 0.500 0.000
Ti 0.000 0.000 0.000
Cl 0.500 0.000 0.000
Tl 0.500 0.500 0.500


B:
VASP calculation (PBE) on TiTlPCl2 after structural relaxation.

## Properties
M_tot (μB/f.u.): 0.10
Space-group type: No. 123
Volume (Å³/f.u.): 143

abc: 5.208 5.208 5.259
angles: 90.00 90.00 90.00
Each line ends with the local moment (μB).
Fractional coordinates of all 5 atoms:
Ti 0.500 0.500 0.500  -0.34
P 0.000 0.000 0.500  0.13
Tl 0.000 0.000 0.000  0.00
Cl 0.500 0.000 0.000  0.01
Cl 0.000 0.500 0.000  0.01


Stability, lowest: B


A:
VASP calculation (PBE) on TiTlP2Cl after structural relaxation.

## Properties
M_tot (μB/f.u.): 0.12
Space-group type: No. 123
Volume (Å³/f.u.): 132

abc: 5.039 5.039 5.182
angles: 90.00 90.00 90.00
Each line ends with the local moment (μB).
Fractional coordinates of all 5 atoms:
Cl 0.000 0.000 0.500  0.00
P 0.000 0.500 0.000  0.01
Ti 0.500 0.500 0.500  0.06
P 0.500 0.000 0.000  0.01
Tl 0.000 0.000 0.000  0.00


B:
VASP calculation (PBE) on TiTlP2Cl after structural relaxation.

## Properties
M_tot (μB/f.u.): 0.00
Space-group type: No. 123
Volume (Å³/f.u.): 118

abc: 4.723 4.723 5.298
angles: 90.00 90.00 90.00
Fractional coordinates of all 5 atoms:
Ti 0.000 0.000 0.000
P 0.000 0.500 0.000
Cl 0.000 0.000 0.500
Tl 0.500 0.500 0.500
P 0.500 0.000 0.000


Stability, lowest: A


A:
VASP calculation (PBE) on YTiP2Cl after structural relaxation.

## Properties
M_tot (μB/f.u.): 0.00
Space-group type: No. 123
Volume (Å³/f.u.): 105

abc: 4.788 4.788 4.595
angles: 90.00 90.00 90.00
Fractional coordinates of all 5 atoms:
Cl 0.000 0.000 0.500
P 0.000 0.500 0.000
Ti 0.000 0.000 0.000
Y 0.500 0.500 0.500
P 0.500 0.000 0.000


B:
VASP calculation (PBE) on YTiP2Cl after structural relaxation.

## Properties
M_tot (μB/f.u.): 0.13
Space-group type: No. 123
Volume (Å³/f.u.): 139

abc: 5.266 5.266 4.997
angles: 90.00 90.00 90.00
Each line ends with the local moment (μB).
Fractional coordinates of all 5 atoms:
P 0.000 0.500 0.000  0.00
Y 0.000 0.000 0.000  0.00
Ti 0.500 0.500 0.500  0.10
P 0.500 0.000 0.000  0.00
Cl 0.000 0.000 0.500  0.01


Stability, lowest: B


A:
VASP calculation (PBE) on TiZnP2Cl after structural relaxation.

## Properties
M_tot (μB/f.u.): 0.12
Space-group type: No. 123
Volume (Å³/f.u.): 101

abc: 4.549 4.549 4.866
angles: 90.00 90.00 90.00
Each line ends with the local moment (μB).
Fractional coordinates of all 5 atoms:
P 0.000 0.500 0.000  0.01
Cl 0.000 0.000 0.500  0.01
Ti 0.500 0.500 0.500  -0.14
P 0.500 0.000 0.000  0.01
Zn 0.000 0.000 0.000  -0.01


B:
VASP calculation (PBE) on TiZnP2Cl after structural relaxation.

## Properties
M_tot (μB/f.u.): 0.00
Space-group type: No. 123
Volume (Å³/f.u.): 96

abc: 4.627 4.497 4.627
angles: 90.00 90.00 90.00
Fractional coordinates of all 5 atoms:
Zn 0.000 0.500 0.000
Cl 0.000 0.000 0.000
Ti 0.500 0.500 0.500
P 0.000 0.000 0.500
P 0.500 0.000 0.000


C:
VASP calculation (PBE) on TiZnP2Cl after structural relaxation.

## Properties
M_tot (μB/f.u.): 0.00
Space-group type: No. 123
Volume (Å³/f.u.): 108

abc: 4.779 4.779 4.736
angles: 90.00 90.00 90.00
Fractional coordinates of all 5 atoms:
Ti 0.000 0.000 0.000
Zn 0.500 0.500 0.500
P 0.000 0.500 0.000
P 0.500 0.000 0.000
Cl 0.000 0.000 0.500


Stability, lowest: B


A:
VASP calculation (PBE) on TiZnPCl2 after structural relaxation.

## Properties
M_tot (μB/f.u.): 0.01
Space-group type: No. 123
Volume (Å³/f.u.): 111

abc: 4.675 4.675 5.071
angles: 90.00 90.00 90.00
Fractional coordinates of all 5 atoms:
P 0.000 0.000 0.500
Zn 0.500 0.500 0.500
Cl 0.500 0.000 0.000
Cl 0.000 0.500 0.000
Ti 0.000 0.000 0.000


B:
VASP calculation (PBE) on TiZnPCl2 after structural relaxation.

## Properties
M_tot (μB/f.u.): 1.17
Space-group type: No. 123
Volume (Å³/f.u.): 109

abc: 4.587 4.587 5.164
angles: 90.00 90.00 90.00
Each line ends with the local moment (μB).
Fractional coordinates of all 5 atoms:
Ti 0.500 0.500 0.500  1.51
Cl 0.000 0.500 0.000  -0.03
Cl 0.500 0.000 0.000  -0.03
P 0.000 0.000 0.500  -0.23
Zn 0.000 0.000 0.000  -0.01


Stability, lowest: B


A:
VASP calculation (PBE) on ZrTiPCl2 after structural relaxation.

## Properties
M_tot (μB/f.u.): 1.62
Space-group type: No. 123
Volume (Å³/f.u.): 106

abc: 4.547 4.547 5.118
angles: 90.00 90.00 90.00
Each line ends with the local moment (μB).
Fractional coordinates of all 5 atoms:
Cl 0.000 0.500 0.000  0.00
Zr 0.500 0.500 0.500  1.06
Cl 0.500 0.000 0.000  0.00
Ti 0.000 0.000 0.000  0.06
P 0.000 0.000 0.500  -0.03


B:
VASP calculation (PBE) on ZrTiPCl2 after structural relaxation.

## Properties
M_tot (μB/f.u.): 0.18
Space-group type: No. 123
Volume (Å³/f.u.): 125

abc: 4.871 4.871 5.257
angles: 90.00 90.00 90.00
Each line ends with the local moment (μB).
Fractional coordinates of all 5 atoms:
Cl 0.000 0.500 0.000  0.00
P 0.000 0.000 0.500  0.01
Zr 0.000 0.000 0.000  0.02
Cl 0.500 0.000 0.000  0.00
Ti 0.500 0.500 0.500  -0.20


Stability, lowest: B


A:
VASP calculation (PBE) on TlPCl6 after structural relaxation.

## Properties
M_tot (μB/f.u.): 0.00
Space-group type: No. 2
Volume (Å³/f.u.): 221

abc: 6.200 7.386 5.557
angles: 67.67 76.83 98.68
Fractional coordinates of all 8 atoms:
Cl 0.633 0.044 0.801
Tl 0.500 0.500 0.000
Cl 0.223 0.313 0.653
Cl 0.777 0.687 0.347
Cl 0.116 0.830 0.732
P 0.000 0.000 0.000
Cl 0.884 0.170 0.268
Cl 0.367 0.956 0.199


B:
VASP calculation (PBE) on TlPCl6 after structural relaxation.

## Properties
M_tot (μB/f.u.): 0.00
Space-group type: No. 166
Volume (Å³/f.u.): 234

abc: 6.715 6.715 7.133
angles: 61.92 61.92 60.00
Fractional coordinates of all 8 atoms:
Cl 0.083 0.626 0.209
Tl 0.500 0.500 0.500
Cl 0.917 0.917 0.791
Cl 0.374 0.917 0.791
Cl 0.917 0.374 0.791
P 0.000 0.000 0.000
Cl 0.083 0.083 0.209
Cl 0.626 0.083 0.209


Stability, lowest: A


A:
VASP calculation (PBE) on TlP2Cl after structural relaxation.

## Properties
M_tot (μB/f.u.): 0.00
Space-group type: No. 123
Volume (Å³/f.u.): 82

abc: 5.085 5.085 3.181
angles: 90.00 90.00 90.00
Fractional coordinates of all 4 atoms:
P 0.000 0.000 0.000
P 0.500 0.500 0.000
Cl 0.000 0.500 0.500
Tl 0.500 0.000 0.500


B:
VASP calculation (PBE) on TlP2Cl after structural relaxation.

## Properties
M_tot (μB/f.u.): 0.00
Space-group type: No. 10
Volume (Å³/f.u.): 126

abc: 7.313 3.353 5.128
angles: 90.05 90.00 90.00
Fractional coordinates of all 4 atoms:
Tl 0.500 0.250 0.250
P 0.000 0.491 0.617
Cl 0.500 0.750 0.750
P 0.000 0.009 0.883


Stability, lowest: A


A:
VASP calculation (PBE) on TlP2Cl after structural relaxation.

## Properties
M_tot (μB/f.u.): 0.01
Space-group type: No. 123
Volume (Å³/f.u.): 101

abc: 3.803 3.804 6.955
angles: 90.00 90.00 90.00
Fractional coordinates of all 4 atoms:
P 0.500 0.500 0.000
Tl 0.500 0.000 0.500
P 0.000 0.000 0.000
Cl 0.000 0.500 0.500


B:
VASP calculation (PBE) on TlP2Cl after structural relaxation.

## Properties
M_tot (μB/f.u.): 0.00
Space-group type: No. 225
Volume (Å³/f.u.): 80

abc: 4.835 4.835 4.835
angles: 60.00 60.00 60.00
Fractional coordinates of all 4 atoms:
Cl 0.000 0.000 0.000
P 0.750 0.750 0.750
P 0.250 0.250 0.250
Tl 0.500 0.500 0.500


Stability, lowest: B


A:
VASP calculation (PBE) on TlP2Cl after structural relaxation.

## Properties
M_tot (μB/f.u.): 0.00
Space-group type: No. 44
Volume (Å³/f.u.): 111

abc: 6.151 6.151 6.151
angles: 148.20 113.42 75.68
Fractional coordinates of all 4 atoms:
Cl 0.243 0.743 0.500
Tl 0.479 0.479 0.000
P 0.820 0.320 0.500
P 0.959 0.959 0.000


B:
VASP calculation (PBE) on TlP2Cl after structural relaxation.

## Properties
M_tot (μB/f.u.): 0.00
Space-group type: No. 47
Volume (Å³/f.u.): 112

abc: 2.946 6.387 5.934
angles: 90.00 90.00 90.00
Fractional coordinates of all 4 atoms:
P 0.000 0.000 0.421
Tl 0.500 0.500 0.250
Cl 0.500 0.500 0.750
P 0.000 0.000 0.079


Stability, lowest: B


A:
VASP calculation (PBE) on TlP2Cl after structural relaxation.

## Properties
M_tot (μB/f.u.): 0.00
Space-group type: No. 160
Volume (Å³/f.u.): 109

abc: 10.571 10.571 10.571
angles: 18.97 18.97 18.97
Fractional coordinates of all 4 atoms:
Cl 0.242 0.242 0.242
P 0.021 0.021 0.021
Tl 0.512 0.512 0.512
P 0.726 0.726 0.726


B:
VASP calculation (PBE) on TlP2Cl after structural relaxation.

## Properties
M_tot (μB/f.u.): 0.00
Space-group type: No. 35
Volume (Å³/f.u.): 148

abc: 4.662 4.662 10.105
angles: 90.00 90.00 137.64
Fractional coordinates of all 4 atoms:
Tl 0.000 0.000 0.525
P 0.000 0.000 0.053
P 0.500 0.500 0.187
Cl 0.500 0.500 0.735


Stability, lowest: B